Record 1
A plane-wave DFT calculation with GGA-PBE was carried out for an optimized crystal structure of Hg2PtPbBr.

Unit cell a=5.3180 b=5.3180 c=5.3838 alpha=90.00 beta=90.00 gamma=90.00
With the nearest neighbours (Å) after each atom.
Atoms (fractional coordinates):
Hg 0.0000 0.5000 0.0000  2 Pt 2.66
Hg 0.5000 0.0000 0.0000  2 Pt 2.66
Pt 0.0000 0.0000 0.0000  4 Hg 2.66, 2 Pb 2.69
Pb 0.0000 0.0000 0.5000  2 Pt 2.69
Br 0.5000 0.5000 0.5000  4 Pb 3.76, 8 Hg 3.78

Output
- energy relative to the lowest polymorph listed for this composition (eV/f.u.) = 0.000
- formation energy from raw total energies (eV per atom) = -0.219



Record 2
A plane-wave DFT calculation with GGA-PBE was carried out for an optimized crystal structure of Os2RuBr.

Unit cell a=5.5650 b=5.5650 c=2.8853 alpha=104.49 beta=104.49 gamma=123.59
With the nearest neighbours (Å) after each atom.
Atoms (fractional coordinates):
Os 0.0000 0.5000 0.0000  6 Os 2.63-2.89, 2 Br 2.80, 2 Ru 2.80
Os 0.5000 0.0000 0.0000  6 Os 2.63-2.89, 2 Br 2.80, 2 Ru 2.80
Ru 0.0000 0.0000 0.5000  4 Br 2.63-2.69, 4 Os 2.80, 2 Ru 2.89
Br 0.5000 0.5000 0.5000  4 Ru 2.63-2.69, 4 Os 2.80, 2 Br 2.89

Output
- energy relative to the lowest polymorph listed for this composition (eV/f.u.) = 2.351
- formation energy from raw total energies (eV per atom) = 1.312



Record 3
A plane-wave DFT calculation with GGA-PBE was carried out for an optimized crystal structure of Cs2H2SeI2.

Unit cell a=7.5255 b=7.5255 c=5.1710 alpha=102.63 beta=102.63 gamma=82.72
With the nearest neighbours (Å) after each atom.
Atoms (fractional coordinates):
Cs 0.2455 0.7545 0.0000  2 H 3.54, 2 Se 3.62
Cs 0.7545 0.2455 0.0000  2 H 3.54, 2 Se 3.62
H 0.3568 0.3568 0.5352  1 Se 1.68
H 0.6432 0.6432 0.4648  1 Se 1.68
Se 0.5000 0.5000 0.5000  2 H 1.68
I 0.1915 0.1915 0.6016  1 H 2.00
I 0.8085 0.8085 0.3984  1 H 2.00

Output
- total DFT energy (no corrections) (eV/f.u.) = -19.83



Record 4
A plane-wave DFT calculation with GGA-PBE was carried out for an optimized crystal structure of TbNdThMg.

Unit cell a=5.5852 b=5.5852 c=5.5852 alpha=60.00 beta=60.00 gamma=60.00
With the nearest neighbours (Å) after each atom.
Atoms (fractional coordinates):
Tb 0.0000 0.0000 0.0000  4 Th 3.42, 4 Mg 3.42
Nd 0.5000 0.5000 0.5000  4 Th 3.42, 4 Mg 3.42
Th 0.7500 0.7500 0.7500  4 Tb 3.42, 4 Nd 3.42
Mg 0.2500 0.2500 0.2500  4 Tb 3.42, 4 Nd 3.42

Output
- formation energy from the elements (eV per formula unit) = 0.61
- energy relative to the lowest polymorph listed for this composition (eV/f.u.) = 0.800



Record 5
A plane-wave DFT calculation with GGA-PBE was carried out for an optimized crystal structure of PuCu2SnO8.

Unit cell a=5.7840 b=5.7840 c=5.7840 alpha=111.53 beta=111.53 gamma=105.42
With the nearest neighbours (Å) after each atom.
Atoms (fractional coordinates):
Pu 0.0000 0.0000 0.0000  4 O 1.99
Cu 0.2500 0.7500 0.5000  4 O 1.94
Cu 0.5000 0.5000 0.0000  4 O 1.88
Sn 0.7500 0.2500 0.5000  4 O 2.07
O 0.0432 0.3448 0.3016  1 Cu 1.94, 1 Pu 1.99
O 0.0432 0.7417 0.6984  1 Cu 1.94, 1 Pu 1.99
O 0.1096 0.2959 0.8137  1 Cu 1.88, 1 Sn 2.07
O 0.2583 0.9568 0.3016  1 Cu 1.94, 1 Pu 1.99
O 0.4822 0.2959 0.1863  1 Cu 1.88, 1 Sn 2.07
O 0.6552 0.9568 0.6984  1 Cu 1.94, 1 Pu 1.99
O 0.7041 0.5178 0.8137  1 Cu 1.88, 1 Sn 2.07
O 0.7041 0.8904 0.1863  1 Cu 1.88, 1 Sn 2.07

Output
- formation energy from raw total energies (eV per atom) = -1.169



Record 6
A plane-wave DFT calculation with GGA-PBE was carried out for an optimized crystal structure of Sm6HoTm.

Unit cell a=5.0868 b=5.0868 c=10.1646 alpha=90.00 beta=90.00 gamma=90.00
With the nearest neighbours (Å) after each atom.
Atoms (fractional coordinates):
Sm 0.0000 0.0000 0.0000  8 Sm 3.59, 4 Tm 3.60
Sm 0.0000 0.0000 0.5000  4 Ho 3.60, 8 Sm 3.60
Sm 0.0000 0.5000 0.2493  2 Tm 3.59, 8 Sm 3.59-3.60, 2 Ho 3.60
Sm 0.0000 0.5000 0.7507  2 Tm 3.59, 8 Sm 3.59-3.60, 2 Ho 3.60
Sm 0.5000 0.0000 0.2493  2 Tm 3.59, 8 Sm 3.59-3.60, 2 Ho 3.60
Sm 0.5000 0.0000 0.7507  2 Tm 3.59, 8 Sm 3.59-3.60, 2 Ho 3.60
Ho 0.5000 0.5000 0.5000  12 Sm 3.60
Tm 0.5000 0.5000 0.0000  12 Sm 3.59-3.60

Output
- formation energy from the elements (eV per formula unit) = 0.15



Record 7
A plane-wave DFT calculation with GGA-PBE was carried out for an optimized crystal structure of Ti2AgPt2.

Unit cell a=7.6346 b=7.6346 c=2.8731 alpha=90.00 beta=90.00 gamma=90.00
With the nearest neighbours (Å) after each atom.
Atoms (fractional coordinates):
Ti 0.1631 0.3369 0.0000  6 Pt 2.63-2.69, 2 Ti 2.87
Ti 0.3369 0.8369 0.0000  6 Pt 2.63-2.69, 2 Ti 2.87
Ti 0.6631 0.1631 0.0000  6 Pt 2.63-2.69, 2 Ti 2.87
Ti 0.8369 0.6631 0.0000  6 Pt 2.63-2.69, 2 Ti 2.87
Ag 0.0000 0.0000 0.5000  2 Ag 2.87, 4 Pt 2.98, 8 Ti 3.20
Ag 0.5000 0.5000 0.5000  2 Ag 2.87, 4 Pt 2.98, 8 Ti 3.20
Pt 0.1331 0.6331 0.5000  6 Ti 2.63-2.69, 3 Pt 2.87
Pt 0.3669 0.1331 0.5000  6 Ti 2.63-2.69, 3 Pt 2.87
Pt 0.6331 0.8669 0.5000  6 Ti 2.63-2.69, 3 Pt 2.87
Pt 0.8669 0.3669 0.5000  6 Ti 2.63-2.69, 3 Pt 2.87

Output
- formation energy from the elements (eV per formula unit) = -3.45
- energy relative to the lowest polymorph listed for this composition (eV/f.u.) = 0.000



Record 8
A plane-wave DFT calculation with GGA-PBE was carried out for an optimized crystal structure of La2TbDy3Y6.

Unit cell a=6.2294 b=6.2294 c=11.8752 alpha=95.00 beta=95.00 gamma=119.99
With the nearest neighbours (Å) after each atom.
Atoms (fractional coordinates):
La 0.1664 0.8336 0.0000  3 La 3.59-3.60, 3 Tb 3.60, 6 Y 3.62-3.63
La 0.8336 0.1664 0.0000  3 La 3.59-3.60, 3 Tb 3.60, 6 Y 3.62-3.63
Tb 0.5000 0.5000 0.0000  6 La 3.60, 6 Y 3.62
Dy 0.0000 0.0000 0.5000  6 Y 3.55, 6 Dy 3.60
Dy 0.3335 0.6665 0.5000  6 Y 3.54-3.55, 6 Dy 3.59-3.60
Dy 0.6665 0.3335 0.5000  6 Y 3.54-3.55, 6 Dy 3.59-3.60
Y 0.0828 0.4151 0.7461  3 Dy 3.55, 6 Y 3.59-3.60, 1 Tb 3.62, 2 La 3.62-3.63
Y 0.2527 0.2527 0.2542  3 Dy 3.54-3.55, 6 Y 3.59-3.60, 1 Tb 3.62, 2 La 3.63
Y 0.4151 0.0828 0.7461  3 Dy 3.55, 6 Y 3.59-3.60, 1 Tb 3.62, 2 La 3.62-3.63
Y 0.5849 0.9172 0.2539  3 Dy 3.55, 6 Y 3.59-3.60, 1 Tb 3.62, 2 La 3.62-3.63
Y 0.7473 0.7473 0.7458  3 Dy 3.54-3.55, 6 Y 3.59-3.60, 1 Tb 3.62, 2 La 3.63
Y 0.9172 0.5849 0.2539  3 Dy 3.55, 6 Y 3.59-3.60, 1 Tb 3.62, 2 La 3.62-3.63

Output
- formation energy from the elements (eV per formula unit) = 0.25



Record 9
A plane-wave DFT calculation with GGA-PBE was carried out for an optimized crystal structure of ZnBBr2.

Unit cell a=7.6384 b=7.6384 c=7.6384 alpha=131.48 beta=131.48 gamma=71.05
With the nearest neighbours (Å) after each atom.
Atoms (fractional coordinates):
Zn 0.0000 0.0000 0.0000  4 Br 2.69
Zn 0.7500 0.2500 0.5000  4 Br 2.69
B 0.2500 0.7500 0.5000  4 Br 2.72
B 0.5000 0.5000 0.0000  4 Br 2.72
Br 0.1210 0.6250 0.9960  2 Zn 2.69, 2 B 2.72
Br 0.3750 0.3710 0.4960  2 Zn 2.69, 2 B 2.72
Br 0.6290 0.1250 0.0040  2 Zn 2.69, 2 B 2.72
Br 0.8750 0.8790 0.5040  2 Zn 2.69, 2 B 2.72

Output
- energy relative to the lowest polymorph listed for this composition (eV/f.u.) = 0.760
- formation energy from raw total energies (eV per atom) = 0.818



Record 10
A plane-wave DFT calculation with GGA-PBE was carried out for an optimized crystal structure of CsBa2SrIn.

Unit cell a=6.9674 b=6.9674 c=6.7105 alpha=90.00 beta=90.00 gamma=90.00
With the nearest neighbours (Å) after each atom.
Atoms (fractional coordinates):
Cs 0.0000 0.0000 0.0000  8 Ba 4.84, 4 Sr 4.93
Ba 0.0000 0.5000 0.5000  2 In 3.48
Ba 0.5000 0.0000 0.5000  2 In 3.48
Sr 0.5000 0.5000 0.0000  2 In 3.36
In 0.5000 0.5000 0.5000  2 Sr 3.36, 4 Ba 3.48

Output
- formation energy from the elements (eV per formula unit) = -0.18



Record 11
A plane-wave DFT calculation with GGA-PBE was carried out for an optimized crystal structure of Mn4Al3V.

Unit cell a=2.9028 b=2.9028 c=11.9305 alpha=90.00 beta=90.00 gamma=90.00
With the nearest neighbours (Å) after each atom.
Atoms (fractional coordinates):
Mn 0.0000 0.0000 0.1155  4 V 2.47, 4 Al 2.53, 1 Mn 2.76
Mn 0.0000 0.0000 0.3700  8 Al 2.57-2.58
Mn 0.0000 0.0000 0.6300  8 Al 2.57-2.58
Mn 0.0000 0.0000 0.8845  4 V 2.47, 4 Al 2.53, 1 Mn 2.76
Al 0.5000 0.5000 0.2397  8 Mn 2.53-2.58
Al 0.5000 0.5000 0.5000  8 Mn 2.57
Al 0.5000 0.5000 0.7603  8 Mn 2.53-2.58
V 0.5000 0.5000 0.0000  8 Mn 2.47

Output
- formation energy from the elements (eV per formula unit) = -2.04



Record 12
A plane-wave DFT calculation with GGA-PBE was carried out for an optimized crystal structure of NbTeI3.

Unit cell a=6.0341 b=6.0341 c=6.0341 alpha=90.00 beta=90.00 gamma=90.00
With the nearest neighbours (Å) after each atom.
Atoms (fractional coordinates):
Nb 0.0000 0.0000 0.0000  12 I 4.27
Te 0.5000 0.5000 0.5000  6 I 3.02
I 0.0000 0.5000 0.5000  2 Te 3.02
I 0.5000 0.0000 0.5000  2 Te 3.02
I 0.5000 0.5000 0.0000  2 Te 3.02

Output
- formation energy from raw total energies (eV per atom) = 0.993



Calculated values (μB/f.u.) of M_tot for the records, taken in order: 0.00; 0.77; 0.11; 0.00; 2.00; 0.00; 0.00; 0.00; 0.00; 0.01; 5.55; 3.99.